VASP calculation (PBE-GGA) on a geometry-optimized CrPIr structure.

- crystal system = monoclinic
- ΔH_f (0 K) (eV per atom) = -0.306
- calculated total energy (eV per cell) = -99.3

a = 8.2952 Å, b = 3.6200 Å, c = 6.0307 Å
α = 90.00°, β = 113.17°, γ = 90.00°
Last column: nearest neighbours and their distance in Å.
Space group Cm (No. 8)
Unique sites:
Cr (0.0000, 0.0000, 0.0000) x2  4 P 2.32-2.48
Cr (0.0335, 0.5000, 0.3831) x2  3 P 2.37-2.38, 1 Ir 2.45
P (0.0051, 0.0000, 0.6177) x2  3 Cr 2.32-2.37, 4 Ir 2.40-2.47, 1 P 2.59
P (0.2958, 0.0000, 0.9982) x2  3 Ir 2.33-2.35, 4 Cr 2.38-2.48, 1 P 2.59
Ir (0.2666, 0.5000, 0.2293) x2  3 P 2.35-2.40, 1 Cr 2.45
Ir (0.3023, 0.0000, 0.6153) x2  4 P 2.33-2.47



VASP calculation (PBE-GGA) on a geometry-optimized CrPIr2 structure.

- crystal system = cubic
- ΔH_f (0 K) (eV per atom) = 0.246
- calculated total energy (eV per cell) = -127.1

a = 6.0186 Å, b = 6.0186 Å, c = 6.0186 Å
α = 90.00°, β = 90.00°, γ = 90.00°
Last column: nearest neighbours and their distance in Å.
Space group F-43m (No. 216)
Unique sites:
Cr (0.0000, 0.0000, 0.0000) x4  4 Ir 2.61, 4 P 2.61
P (0.2500, 0.2500, 0.2500) x4  4 Cr 2.61, 4 Ir 2.61
Ir (0.0000, 0.0000, 0.5000) x4  4 P 2.61, 4 Ir 2.61
Ir (0.2500, 0.2500, 0.7500) x4  4 Cr 2.61, 4 Ir 2.61



VASP calculation (PBE-GGA) on a geometry-optimized CrPIr structure.

- crystal system = monoclinic
- ΔH_f (0 K) (eV per atom) = -0.292
- calculated total energy (eV per cell) = -99.1

a = 8.1106 Å, b = 3.5233 Å, c = 5.6917 Å
α = 90.00°, β = 102.58°, γ = 90.00°
Last column: nearest neighbours and their distance in Å.
Space group Cm (No. 8)
Unique sites:
Cr (0.0000, 0.0000, 0.0000) x2  3 Cr 2.31-2.57, 4 P 2.37-2.50
Cr (0.2084, 0.5000, 0.9084) x2  3 Cr 2.31-2.57, 2 P 2.38-2.57
P (0.1343, 0.5000, 0.2902) x2  3 Cr 2.38-2.50, 5 Ir 2.40-2.47
P (0.3879, 0.0000, 0.7330) x2  5 Cr 2.37-2.62, 2 Ir 2.40-2.46
Ir (0.0892, 0.0000, 0.5729) x2  3 P 2.40-2.47, 3 Cr 2.62-2.68
Ir (0.3386, 0.0000, 0.2912) x2  4 P 2.40-2.46



VASP calculation (PBE-GGA) on a geometry-optimized Cr2PIr structure.

- crystal system = orthorhombic
- ΔH_f (0 K) (eV per atom) = -0.064
- calculated total energy (eV per cell) = -67.5

a = 4.7442 Å, b = 7.7608 Å, c = 2.7211 Å
α = 90.00°, β = 90.00°, γ = 90.00°
Last column: nearest neighbours and their distance in Å.
Space group Cmmm (No. 65)
Unique sites:
Cr (0.2500, 0.2500, 0.0000) x4  2 Cr 2.37, 4 Ir 2.65, 4 P 2.65
P (0.0000, 0.0000, 0.5000) x2  2 Ir 2.37, 8 Cr 2.65
Ir (0.0000, 0.5000, 0.5000) x2  2 P 2.37, 8 Cr 2.65



VASP calculation (PBE-GGA) on a geometry-optimized CrPIr structure.

- crystal system = cubic
- ΔH_f (0 K) (eV per atom) = -0.320
- calculated total energy (eV per cell) = -99.4

a = 5.5723 Å, b = 5.5723 Å, c = 5.5723 Å
α = 90.00°, β = 90.00°, γ = 90.00°
Last column: nearest neighbours and their distance in Å.
Space group F-43m (No. 216)
Unique sites:
Cr (0.0000, 0.0000, 0.0000) x4  4 P 2.41
P (0.2500, 0.2500, 0.7500) x4  4 Cr 2.41, 4 Ir 2.41
Ir (0.0000, 0.0000, 0.5000) x4  4 P 2.41



VASP calculation (PBE-GGA) on a geometry-optimized Cr2PIr structure.

- crystal system = orthorhombic
- ΔH_f (0 K) (eV per atom) = -0.214
- calculated total energy (eV per cell) = -68.7

a = 3.6360 Å, b = 2.7447 Å, c = 10.1879 Å
α = 90.00°, β = 90.00°, γ = 90.00°
Last column: nearest neighbours and their distance in Å.
Space group Amm2 (No. 38)
Unique sites:
Cr (0.0000, 0.0000, 0.0000) x2  1 P 2.29
Cr (0.5000, 0.0000, 0.3576) x2  4 P 2.43, 1 Ir 2.69, 4 Cr 2.70
P (0.0000, 0.0000, 0.7754) x2  5 Cr 2.29-2.43, 2 Ir 2.40
Ir (0.5000, 0.0000, 0.6221) x2  2 P 2.40, 4 Cr 2.60



VASP calculation (PBE-GGA) on a geometry-optimized CrPIr structure.

- crystal system = monoclinic
- ΔH_f (0 K) (eV per atom) = -0.229
- calculated total energy (eV per cell) = -98.3

a = 7.7031 Å, b = 4.1662 Å, c = 6.2656 Å
α = 90.00°, β = 126.26°, γ = 90.00°
Last column: nearest neighbours and their distance in Å.
Space group C2 (No. 5)
Unique sites:
Cr (0.2179, 0.0000, 0.0958) x4  4 P 2.42-2.59, 2 Cr 2.59, 2 Ir 2.60-2.67
P (0.0000, 0.2348, 0.5000) x2  2 Cr 2.42, 6 Ir 2.45-2.69
P (0.0000, 0.4773, 0.0000) x2  2 Ir 2.34, 6 Cr 2.44-2.59
Ir (0.1039, 0.7436, 0.3872) x4  3 P 2.34-2.51, 1 Cr 2.60



VASP calculation (PBE-GGA) on a geometry-optimized CrPIr2 structure.

- crystal system = monoclinic
- ΔH_f (0 K) (eV per atom) = -0.097
- calculated total energy (eV per cell) = -33.1

a = 2.7948 Å, b = 3.9213 Å, c = 5.1195 Å
α = 90.00°, β = 104.75°, γ = 90.00°
Last column: nearest neighbours and their distance in Å.
Space group P2/m (No. 10)
Unique sites:
Cr (0.0000, 0.0000, 0.0000) x1  2 P 2.56, 8 Ir 2.70-2.76, 2 Cr 2.79
P (0.0000, 0.0000, 0.5000) x1  4 Ir 2.40, 2 Cr 2.56
Ir (0.3591, 0.5000, 0.7418) x2  2 P 2.40, 1 Ir 2.56



VASP calculation (PBE-GGA) on a geometry-optimized CrPIr2 structure.

- crystal system = orthorhombic
- ΔH_f (0 K) (eV per atom) = -0.006
- calculated total energy (eV per cell) = -32.8

a = 2.7985 Å, b = 3.5602 Å, c = 5.4530 Å
α = 90.00°, β = 90.00°, γ = 90.00°
Last column: nearest neighbours and their distance in Å.
Space group Pmmm (No. 47)
Unique sites:
Cr (0.0000, 0.0000, 0.0000) x1  8 Ir 2.63, 2 P 2.73, 2 Cr 2.80
P (0.0000, 0.0000, 0.5000) x1  8 Ir 2.66, 2 Cr 2.73, 2 P 2.80
Ir (0.5000, 0.5000, 0.2452) x2  4 Cr 2.63, 4 P 2.66, 4 Ir 2.67-2.80



VASP calculation (PBE-GGA) on a geometry-optimized CrPIr2 structure.

- crystal system = orthorhombic
- ΔH_f (0 K) (eV per atom) = 0.007
- calculated total energy (eV per cell) = -32.7

a = 2.8533 Å, b = 3.7670 Å, c = 5.1931 Å
α = 90.00°, β = 90.00°, γ = 90.00°
Last column: nearest neighbours and their distance in Å.
Space group Pmm2 (No. 25)
Unique sites:
Cr (0.0000, 0.0000, 0.0000) x1  6 Ir 2.51-2.69
P (0.5000, 0.5000, 0.6801) x1  6 Ir 2.51-2.60
Ir (0.0000, 0.0000, 0.5172) x1  2 Cr 2.51-2.69, 4 P 2.51
Ir (0.5000, 0.5000, 0.1786) x1  4 Cr 2.54, 2 P 2.59-2.60



VASP calculation (PBE-GGA) on a geometry-optimized Cr2PIr structure.

- crystal system = tetragonal
- ΔH_f (0 K) (eV per atom) = -0.292
- calculated total energy (eV per cell) = -34.7

a = 2.7554 Å, b = 2.7554 Å, c = 6.3924 Å
α = 90.00°, β = 90.00°, γ = 90.00°
Last column: nearest neighbours and their distance in Å.
Space group P4/mmm (No. 123)
Unique sites:
Cr (0.0000, 0.0000, 0.2183) x2  4 P 2.40, 4 Ir 2.65
P (0.5000, 0.5000, 0.0000) x1  8 Cr 2.40
Ir (0.5000, 0.5000, 0.5000) x1  8 Cr 2.65, 4 Ir 2.76



VASP calculation (PBE-GGA) on a geometry-optimized Cr2P2Ir structure.

- crystal system = tetragonal
- ΔH_f (0 K) (eV per atom) = -0.232
- calculated total energy (eV per cell) = -80.2

a = 6.5798 Å, b = 6.5798 Å, c = 2.8539 Å
α = 90.00°, β = 90.00°, γ = 90.00°
Last column: nearest neighbours and their distance in Å.
Space group P4/mbm (No. 127)
Unique sites:
Cr (0.1418, 0.3582, 0.0000) x4  6 P 2.38-2.42, 1 Cr 2.64
P (0.1542, 0.6542, 0.5000) x4  6 Cr 2.38-2.42, 2 Ir 2.49
Ir (0.0000, 0.0000, 0.5000) x2  4 P 2.49



VASP calculation (PBE-GGA) on a geometry-optimized Cr2PIr structure.

- crystal system = tetragonal
- ΔH_f (0 K) (eV per atom) = 0.015
- calculated total energy (eV per cell) = -33.5

a = 4.3126 Å, b = 4.3126 Å, c = 2.7137 Å
α = 90.00°, β = 90.00°, γ = 90.00°
Last column: nearest neighbours and their distance in Å.
Space group P4/mmm (No. 123)
Unique sites:
Cr (0.0000, 0.5000, 0.0000) x2  4 Ir 2.55, 4 P 2.55, 2 Cr 2.71
P (0.0000, 0.0000, 0.5000) x1  8 Cr 2.55, 2 P 2.71
Ir (0.5000, 0.5000, 0.5000) x1  8 Cr 2.55, 2 Ir 2.71



VASP calculation (PBE-GGA) on a geometry-optimized CrPIr4 structure.

- crystal system = cubic
- ΔH_f (0 K) (eV per atom) = 0.658
- calculated total energy (eV per cell) = -186.1

a = 7.3115 Å, b = 7.3115 Å, c = 7.3115 Å
α = 90.00°, β = 90.00°, γ = 90.00°
Last column: nearest neighbours and their distance in Å.
Space group F-43m (No. 216)
Unique sites:
Cr (0.0000, 0.0000, 0.0000) x4  12 Ir 3.03, 4 P 3.17
P (0.2500, 0.2500, 0.2500) x4  12 Ir 3.03, 4 Cr 3.17
Ir (0.1250, 0.1250, 0.6250) x16  6 Ir 2.58-2.59



VASP calculation (PBE-GGA) on a geometry-optimized CrPIr2 structure.

- crystal system = orthorhombic
- ΔH_f (0 K) (eV per atom) = 0.309
- calculated total energy (eV per cell) = -63.0

a = 2.7568 Å, b = 4.7398 Å, c = 8.6629 Å
α = 90.00°, β = 90.00°, γ = 90.00°
Last column: nearest neighbours and their distance in Å.
Space group Cmmm (No. 65)
Unique sites:
Cr (0.0000, 0.0000, 0.0000) x2  4 Ir 2.56, 6 Cr 2.74-2.76
P (0.0000, 0.0000, 0.5000) x2  4 Ir 2.57, 6 P 2.74-2.76
Ir (0.0000, 0.5000, 0.2497) x4  2 Cr 2.56, 2 P 2.57, 6 Ir 2.74-2.76



VASP calculation (PBE-GGA) on a geometry-optimized CrPIr structure.

- crystal system = monoclinic
- ΔH_f (0 K) (eV per atom) = -0.235
- calculated total energy (eV per cell) = -98.4

a = 9.0314 Å, b = 2.9277 Å, c = 7.2070 Å
α = 90.00°, β = 120.22°, γ = 90.00°
Last column: nearest neighbours and their distance in Å.
Space group Cm (No. 8)
Unique sites:
Cr (0.0000, 0.0000, 0.0000) x2  2 Cr 2.50, 3 Ir 2.52-2.54, 2 P 2.58
Cr (0.0587, 0.5000, 0.3112) x2  3 P 2.39-2.41, 2 Cr 2.50
P (0.2366, 0.0000, 0.6012) x2  3 Ir 2.34-2.39, 2 Cr 2.39
P (0.2705, 0.5000, 0.2010) x2  3 Ir 2.30-2.35, 3 Cr 2.41-2.58
Ir (0.2477, 0.0000, 0.9320) x2  3 P 2.34-2.35, 3 Cr 2.52-2.54
Ir (0.4319, 0.5000, 0.5705) x2  3 P 2.30-2.39



VASP calculation (PBE-GGA) on a geometry-optimized CrPIr2 structure.

- crystal system = monoclinic
- ΔH_f (0 K) (eV per atom) = -0.059
- calculated total energy (eV per cell) = -66.0

a = 9.2489 Å, b = 2.8068 Å, c = 4.2880 Å
α = 90.00°, β = 91.06°, γ = 90.00°
Last column: nearest neighbours and their distance in Å.
Space group Cm (No. 8)
Unique sites:
Cr (0.0000, 0.0000, 0.0000) x2  1 P 2.30
P (0.2319, 0.0000, 0.2025) x2  3 Ir 2.29-2.36, 1 Cr 2.30
Ir (0.2096, 0.5000, 0.7614) x2  2 P 2.36, 2 Cr 2.62
Ir (0.4376, 0.0000, 0.5074) x2  1 P 2.29



VASP calculation (PBE-GGA) on a geometry-optimized Cr2PIr structure.

- crystal system = tetragonal
- ΔH_f (0 K) (eV per atom) = 0.571
- calculated total energy (eV per cell) = -124.9

a = 5.3780 Å, b = 5.3780 Å, c = 10.4126 Å
α = 90.00°, β = 90.00°, γ = 90.00°
Last column: nearest neighbours and their distance in Å.
Space group I-42d (No. 122)
Unique sites:
Cr (0.2386, 0.2500, 0.1250) x8  2 P 2.27, 2 Ir 2.34
P (0.0000, 0.0000, 0.0000) x4  4 Cr 2.27
Ir (0.0000, 0.0000, 0.5000) x4  4 Cr 2.34



VASP calculation (PBE-GGA) on a geometry-optimized CrPIr2 structure.

- crystal system = trigonal
- ΔH_f (0 K) (eV per atom) = -0.096
- calculated total energy (eV per cell) = -99.4

a = 2.7702 Å, b = 2.7702 Å, c = 24.0735 Å
α = 90.00°, β = 90.00°, γ = 120.00°
Last column: nearest neighbours and their distance in Å.
Space group R3m (No. 160, hexagonal axes)
Unique sites:
Cr (0.0000, 0.0000, 0.0000) x3  3 P 2.42, 3 Ir 2.56
P (0.0000, 0.0000, 0.2581) x3  3 Cr 2.42, 3 Ir 2.42
Ir (0.0000, 0.0000, 0.5160) x3  3 P 2.42
Ir (0.0000, 0.0000, 0.7496) x3  3 Cr 2.56, 6 Ir 2.77



VASP calculation (PBE-GGA) on a geometry-optimized Cr2PIr structure.

- crystal system = cubic
- ΔH_f (0 K) (eV per atom) = -0.062
- calculated total energy (eV per cell) = -135.1

a = 5.8535 Å, b = 5.8535 Å, c = 5.8535 Å
α = 90.00°, β = 90.00°, γ = 90.00°
Last column: nearest neighbours and their distance in Å.
Space group F-43m (No. 216)
Unique sites:
Cr (0.0000, 0.0000, 0.0000) x4  4 Cr 2.53, 4 P 2.53
Cr (0.2500, 0.2500, 0.2500) x4  4 Cr 2.53, 4 Ir 2.53
P (0.2500, 0.2500, 0.7500) x4  4 Cr 2.53, 4 Ir 2.53
Ir (0.0000, 0.0000, 0.5000) x4  4 Cr 2.53, 4 P 2.53